Entry 1:
VASP calculation (PBE) on a geometry-optimized La2IBr structure.

Calculated values
The total energy comes out at -4.262 eV/atom. As for the energy relative to the elements, uncorrected: -992 meV/atom. The calculation puts the size of the total moment at 0.0 μB/f.u. As for the symmetry: No. 123.

a = 3.882 Å, b = 3.882 Å, c = 7.755 Å
α = 90.00°, β = 90.00°, γ = 90.00°
Fractional coordinates of all 4 atoms:
1 La 0.000 0.000 0.246
2 La 0.000 0.000 0.754
3 I 0.500 0.500 0.500
4 Br 0.500 0.500 0.000

---

Entry 2:
VASP calculation (PBE) on a geometry-optimized Al2BrN structure.

Calculated values
The total energy comes out at -4.608 eV/atom. As for the energy relative to the elements, uncorrected: -237 meV/atom. The calculation puts the size of the total moment at 0.0 μB/f.u. As for the symmetry: No. 122.

a = 6.676 Å, b = 6.676 Å, c = 6.676 Å
α = 133.92°, β = 133.92°, γ = 67.21°
Fractional coordinates of all 8 atoms:
1 Al 0.375 0.199 0.324
2 Al 0.801 0.125 0.176
3 Al 0.875 0.051 0.676
4 Al 0.949 0.625 0.824
5 Br 0.250 0.750 0.500
6 Br 0.500 0.500 0.000
7 N 0.000 0.000 0.000
8 N 0.750 0.250 0.500